Entry from the Alexandria database: a relaxed HgOs2Rh crystal (PBE-GGA).

Properties
For the size of the total moment, the calculation gives 1.62 μB/f.u. The formation energy is 0.85 eV per atom. For the calculated volume, the calculation gives 64 Å³/cell. For the final energy, the calculation gives -6.679 eV/atom.

Cell: 4.489 4.489 4.489 Å, 60.00 60.00 60.00°
Each line ends with the local moment (μB).
Atoms (fractional coordinates):
Rh 0.750 0.750 0.750  0.31
Os 0.250 0.250 0.250  0.21
Os 0.000 0.000 0.000  1.02
Hg 0.500 0.500 0.500  0.01


Entry from the Alexandria database: a relaxed HgOsRh2 crystal (PBE-GGA).

Properties
For the size of the total moment, the calculation gives 0.00 μB/f.u. The formation energy is 0.21 eV per atom. For the calculated volume, the calculation gives 63 Å³/cell. For the final energy, the calculation gives -6.347 eV/atom.

Cell: 9.292 9.292 9.292 Å, 17.45 17.45 17.45°
Atoms (fractional coordinates):
Rh 0.256 0.256 0.256
Rh 0.744 0.744 0.744
Hg 0.500 0.500 0.500
Os 0.000 0.000 0.000


Entry from the Alexandria database: a relaxed HgOsRh4 crystal (PBE-GGA).

Properties
For the size of the total moment, the calculation gives 2.49 μB/f.u. The formation energy is 0.60 eV per atom. For the calculated volume, the calculation gives 95 Å³/cell. For the final energy, the calculation gives -6.222 eV/atom.

Cell: 5.130 5.130 5.130 Å, 60.00 60.00 60.00°
Each line ends with the local moment (μB).
Atoms (fractional coordinates):
Rh 0.875 0.375 0.375  0.26
Rh 0.375 0.875 0.375  0.26
Rh 0.375 0.375 0.375  0.26
Rh 0.375 0.375 0.875  0.26
Hg 0.750 0.750 0.750  0.01
Os 0.000 0.000 0.000  1.40


Entry from the Alexandria database: a relaxed HgOs2Rh crystal (PBE-GGA).

Properties
For the size of the total moment, the calculation gives 0.00 μB/f.u. The formation energy is 0.67 eV per atom. For the calculated volume, the calculation gives 64 Å³/cell. For the final energy, the calculation gives -6.856 eV/atom.

Cell: 2.744 3.964 5.909 Å, 90.00 90.00 90.00°
Atoms (fractional coordinates):
Rh 0.500 0.500 0.000
Os 0.000 0.000 0.213
Os 0.000 0.000 0.787
Hg 0.500 0.500 0.500


Entry from the Alexandria database: a relaxed HgOs2Rh crystal (PBE-GGA).

Properties
For the size of the total moment, the calculation gives 0.00 μB/f.u. The formation energy is 0.54 eV per atom. For the calculated volume, the calculation gives 63 Å³/cell. For the final energy, the calculation gives -6.990 eV/atom.

Cell: 9.518 9.518 9.518 Å, 16.82 16.82 16.82°
Atoms (fractional coordinates):
Hg 0.000 0.000 0.000
Os 0.757 0.757 0.757
Os 0.243 0.243 0.243
Rh 0.500 0.500 0.500


Entry from the Alexandria database: a relaxed HgOs2Rh crystal (PBE-GGA).

Properties
For the size of the total moment, the calculation gives 0.00 μB/f.u. The formation energy is 0.56 eV per atom. For the calculated volume, the calculation gives 63 Å³/cell. For the final energy, the calculation gives -6.972 eV/atom.

Cell: 4.902 4.902 4.860 Å, 80.37 80.37 33.18°
Atoms (fractional coordinates):
Rh 0.500 0.500 0.000
Hg 0.000 0.000 0.500
Os 0.762 0.762 0.225
Os 0.238 0.238 0.775